The following is a PBE-GGA calculation of an optimized crystal structure of TaCd2Tc, from Alexandria.

a b c (Å): 6.598 6.598 6.598
angles (deg): 90.00 90.00 90.00
Space group Fm-3m (No. 225)
Symmetry-distinct sites (fractional):
Ta  0.000  0.000  0.000 (multiplicity 4)
Cd  0.250  0.250  0.250 (multiplicity 8)
Tc  0.000  0.000  0.500 (multiplicity 4)

## Properties
Its offset from the most stable computed form is 567 meV per atom. The calculation puts the formation energy at 64 kJ per mole of atoms.

=====

The following is a PBE-GGA calculation of an optimized crystal structure of Ta3CdTc, from Alexandria.

a b c (Å): 4.821 4.821 4.821
angles (deg): 90.00 90.00 90.00
Space group Pm-3m (No. 221)
Symmetry-distinct sites (fractional):
Ta  0.000  0.000  0.500 (multiplicity 3)
Cd  0.500  0.500  0.500 (multiplicity 1)
Tc  0.000  0.000  0.000 (multiplicity 1)

## Properties
Its offset from the most stable computed form is 0 meV per atom. The calculation puts the formation energy at 105 kJ per mole of atoms.

=====

The following is a PBE-GGA calculation of an optimized crystal structure of Ta2CdTc2, from Alexandria.

a b c (Å): 7.571 7.571 3.117
angles (deg): 90.00 90.00 90.00
Space group P4/mbm (No. 127)
Symmetry-distinct sites (fractional):
Ta  0.150  0.350  0.000 (multiplicity 4)
Cd  0.000  0.000  0.500 (multiplicity 2)
Tc  0.144  0.644  0.500 (multiplicity 4)

## Properties
The calculation puts the formation energy at 13 kJ per mole of atoms.

=====

The following is a PBE-GGA calculation of an optimized crystal structure of TaCdTc3, from Alexandria.

a b c (Å): 4.766 4.766 4.766
angles (deg): 90.00 90.00 90.00
Space group Pm-3m (No. 221)
Symmetry-distinct sites (fractional):
Ta  0.000  0.000  0.000 (multiplicity 1)
Cd  0.500  0.500  0.500 (multiplicity 1)
Tc  0.000  0.000  0.500 (multiplicity 3)

## Properties
Its offset from the most stable computed form is 0 meV per atom. The calculation puts the formation energy at 150 kJ per mole of atoms.

=====

The following is a PBE-GGA calculation of an optimized crystal structure of TaCd2Tc, from Alexandria.

a b c (Å): 3.473 4.309 4.817
angles (deg): 90.00 90.00 90.00
Space group Pmmm (No. 47)
Symmetry-distinct sites (fractional):
Ta  0.000  0.000  0.000 (multiplicity 1)
Cd  0.000  0.500  0.500 (multiplicity 1)
Cd  0.500  0.000  0.500 (multiplicity 1)
Tc  0.500  0.500  0.000 (multiplicity 1)

## Properties
Its offset from the most stable computed form is 199 meV per atom. The calculation puts the formation energy at 28 kJ per mole of atoms.

=====

The following is a PBE-GGA calculation of an optimized crystal structure of Ta2CdTc, from Alexandria.

a b c (Å): 6.553 6.553 6.553
angles (deg): 90.00 90.00 90.00
Space group F-43m (No. 216)
Symmetry-distinct sites (fractional):
Ta  0.000  0.000  0.000 (multiplicity 4)
Ta  0.250  0.250  0.250 (multiplicity 4)
Cd  0.000  0.000  0.500 (multiplicity 4)
Tc  0.250  0.250  0.750 (multiplicity 4)

## Properties
The calculation puts the formation energy at 31 kJ per mole of atoms.

=====

The following is a PBE-GGA calculation of an optimized crystal structure of TaCd2Tc, from Alexandria.

a b c (Å): 6.618 6.618 6.618
angles (deg): 90.00 90.00 90.00
Space group F-43m (No. 216)
Symmetry-distinct sites (fractional):
Ta  0.000  0.000  0.000 (multiplicity 4)
Cd  0.000  0.000  0.500 (multiplicity 4)
Cd  0.250  0.250  0.750 (multiplicity 4)
Tc  0.250  0.250  0.250 (multiplicity 4)

## Properties
Its offset from the most stable computed form is 311 meV per atom. The calculation puts the formation energy at 39 kJ per mole of atoms.

=====

The following is a PBE-GGA calculation of an optimized crystal structure of Ta2CdTc, from Alexandria.

a b c (Å): 3.265 4.653 9.382
angles (deg): 90.00 90.00 90.00
Space group Imm2 (No. 44)
Symmetry-distinct sites (fractional):
Ta  0.000  0.000  0.000 (multiplicity 2)
Ta  0.000  0.500  0.243 (multiplicity 2)
Cd  0.000  0.000  0.474 (multiplicity 2)
Tc  0.000  0.500  0.719 (multiplicity 2)

## Properties
The calculation puts the formation energy at 16 kJ per mole of atoms.

=====

The following is a PBE-GGA calculation of an optimized crystal structure of TaCd2Tc, from Alexandria.

a b c (Å): 2.9009 2.9009 29.9736
angles (deg): 90.00 90.00 120.00
Space group R-3m (No. 166, hexagonal axes)
Symmetry-distinct sites (fractional):
Ta  0.0000  0.0000  0.0000 (multiplicity 3)
Cd  0.0000  0.0000  0.2461 (multiplicity 6)
Tc  0.0000  0.0000  0.5000 (multiplicity 3)

## Properties
Its offset from the most stable computed form is 341 meV per atom. The calculation puts the formation energy at 42 kJ per mole of atoms.

=====

The following is a PBE-GGA calculation of an optimized crystal structure of TaCd2Tc, from Alexandria.

a b c (Å): 3.593 3.593 5.634
angles (deg): 90.00 90.00 90.00
Space group P4/mmm (No. 123)
Symmetry-distinct sites (fractional):
Ta  0.000  0.000  0.000 (multiplicity 1)
Cd  0.500  0.500  0.257 (multiplicity 2)
Tc  0.000  0.000  0.500 (multiplicity 1)

## Properties
Its offset from the most stable computed form is 477 meV per atom. The calculation puts the formation energy at 55 kJ per mole of atoms.

=====

The following is a PBE-GGA calculation of an optimized crystal structure of Ta3CdTc, from Alexandria.

a b c (Å): 4.893 4.893 4.893
angles (deg): 90.00 90.00 90.00
Space group Pm-3m (No. 221)
Symmetry-distinct sites (fractional):
Ta  0.000  0.000  0.500 (multiplicity 3)
Cd  0.000  0.000  0.000 (multiplicity 1)
Tc  0.500  0.500  0.500 (multiplicity 1)

## Properties
Its offset from the most stable computed form is 1454 meV per atom. The calculation puts the formation energy at 245 kJ per mole of atoms.

=====

The following is a PBE-GGA calculation of an optimized crystal structure of Ta2CdTc, from Alexandria.

a b c (Å): 4.183 4.183 7.990
angles (deg): 90.00 90.00 90.00
Space group I4/mmm (No. 139)
Symmetry-distinct sites (fractional):
Ta  0.000  0.500  0.250 (multiplicity 4)
Cd  0.000  0.000  0.000 (multiplicity 2)
Tc  0.000  0.000  0.500 (multiplicity 2)

## Properties
The calculation puts the formation energy at 19 kJ per mole of atoms.